(1)
Below is NdMgCd4 after structural relaxation, with properties calculated at the PBE level.

a = 5.9079 Å, b = 5.9079 Å, c = 5.9079 Å
α = 60.00°, β = 60.00°, γ = 60.00°
Positions (direct):
Nd 0.2500 0.2500 0.2500
Cd 0.1262 0.6246 0.6246
Cd 0.6246 0.6246 0.1262
Cd 0.6246 0.1262 0.6246
Cd 0.6246 0.6246 0.6246
Mg 0.0000 0.0000 0.0000

Calculated values
total energy = -0.067 Ha/atom
energy relative to the lowest polymorph listed for this composition = 0.66 eV/f.u.
symmetry = F-43m
ΔE_f = -0.14 eV per atom


(2)
Below is Nd2Mg2Cd15 after structural relaxation, with properties calculated at the PBE level.

a = 7.6791 Å, b = 7.6791 Å, c = 7.6791 Å
α = 81.83°, β = 81.83°, γ = 81.83°
Positions (direct):
Cd 0.6389 0.1574 0.6389
Cd 0.8426 0.3611 0.3611
Cd 0.7046 0.0000 0.2954
Cd 0.3611 0.8426 0.3611
Mg 0.8986 0.8986 0.8986
Mg 0.1014 0.1014 0.1014
Cd 0.6389 0.6389 0.1574
Nd 0.6669 0.6669 0.6669
Cd 0.0000 0.7046 0.2954
Cd 0.3611 0.3611 0.8426
Cd 0.2954 0.7046 0.0000
Nd 0.3331 0.3331 0.3331
Cd 0.0000 0.0000 0.5000
Cd 0.0000 0.5000 0.0000
Cd 0.1574 0.6389 0.6389
Cd 0.7046 0.2954 0.0000
Cd 0.5000 0.0000 0.0000
Cd 0.2954 0.0000 0.7046
Cd 0.0000 0.2954 0.7046

Calculated values
total energy = -0.057 Ha/atom
symmetry = R-3m
ΔE_f = -0.17 eV per atom


Density of states at the Fermi level across the listed records, respectively: 0.625, 0.229 states/eV per atom.